No. 1
Computed, not measured: a relaxed Sm2CdGeO6 crystal at the GGA-PBE level of DFT.

Output
Formation energy (no corrections) ... -23.1 eV per formula unit
Size of the total moment ... 0.00 μB per cell
D(E_F) ... 0.000 states/eV/f.u.
VASP energy ... -6.780 eV/atom
Calculated volume ... 14.59 Å³/atom
Calculated density ... 6619 kg/m3

Unit cell a=5.0946 b=5.3523 c=5.3523 alpha=90.00 beta=90.00 gamma=90.00
Last column: nearest neighbours and their distance in Å.
Positions (direct):
O (0.7342, 0.2314, 0.7686)  1 Ge 1.87
O (0.2494, 0.0000, 0.0000)  1 Ge 1.80
Cd (0.5392, 0.5000, 0.5000)  5 O 2.12-2.26
Sm (0.9976, 0.5000, 0.0000)  4 O 2.32
O (0.7342, 0.7686, 0.2314)  1 Ge 1.87
O (0.1231, 0.5000, 0.5000)  1 Cd 2.12
O (0.7342, 0.2314, 0.2314)  1 Ge 1.87
Ge (0.6029, 0.0000, 0.0000)  5 O 1.80-1.87
Sm (0.9976, 0.0000, 0.5000)  4 O 2.32
O (0.7342, 0.7686, 0.7686)  1 Ge 1.87

No. 2
Computed, not measured: a relaxed Cd2SnGeO6 crystal at the GGA-PBE level of DFT.

Output
Formation energy (no corrections) ... -12.2 eV per formula unit
Size of the total moment ... 0.00 μB per cell
D(E_F) ... 0.646 states/eV/f.u.
VASP energy ... -5.236 eV/atom
Calculated volume ... 13.60 Å³/atom
Calculated density ... 6252 kg/m3

Unit cell a=4.9896 b=5.2215 c=5.2215 alpha=90.00 beta=90.00 gamma=90.00
Last column: nearest neighbours and their distance in Å.
Positions (direct):
O (0.7159, 0.2404, 0.2404)  1 Ge 1.89, 1 Sn 2.05
Cd (0.0114, 0.0000, 0.5000)  4 O 2.36
Cd (0.0114, 0.5000, 0.0000)  4 O 2.36
O (0.2300, 0.0000, 0.0000)  1 Ge 1.77
O (0.1747, 0.5000, 0.5000)  1 Sn 1.98
Ge (0.5852, 0.0000, 0.0000)  5 O 1.77-1.89
Sn (0.5706, 0.5000, 0.5000)  5 O 1.98-2.05
O (0.7159, 0.7596, 0.7596)  1 Ge 1.89, 1 Sn 2.05
O (0.7159, 0.7596, 0.2404)  1 Ge 1.89, 1 Sn 2.05
O (0.7159, 0.2404, 0.7596)  1 Ge 1.89, 1 Sn 2.05

No. 3
Computed, not measured: a relaxed CdSnGeO5 crystal at the GGA-PBE level of DFT.

Output
Formation energy (no corrections) ... -12.2 eV per formula unit
Size of the total moment ... 0.00 μB per cell
VASP energy ... -5.811 eV/atom
Calculated volume ... 13.41 Å³/atom
Calculated density ... 5941 kg/m3

Unit cell a=5.7082 b=5.7082 c=7.4834 alpha=104.80 beta=104.80 gamma=104.51
Last column: nearest neighbours and their distance in Å.
Positions (direct):
Sn (0.0000, 0.0000, 0.0000)  6 O 2.03-2.12
O (0.3684, 0.2724, 0.0846)  1 Ge 1.78
Ge (0.6766, 0.3234, 0.2500)  4 O 1.77-1.78
Cd (0.3303, 0.6697, 0.2500)  3 O 2.19-2.38
O (0.2724, 0.3684, 0.5846)  1 Ge 1.78
O (0.0875, 0.9125, 0.2500)  2 Sn 2.03, 1 Cd 2.19
O (0.3199, 0.8951, 0.6186)  1 Ge 1.77
Cd (0.6697, 0.3303, 0.7500)  3 O 2.19-2.38
Ge (0.3234, 0.6766, 0.7500)  4 O 1.77-1.78
Sn (0.0000, 0.0000, 0.5000)  6 O 2.03-2.12
O (0.6316, 0.7276, 0.9154)  1 Ge 1.78
O (0.1049, 0.6801, 0.8814)  1 Ge 1.77
O (0.7276, 0.6316, 0.4154)  1 Ge 1.78
O (0.9125, 0.0875, 0.7500)  2 Sn 2.03, 1 Cd 2.19
O (0.8951, 0.3199, 0.1186)  1 Ge 1.77
O (0.6801, 0.1049, 0.3814)  1 Ge 1.77

No. 4
Computed, not measured: a relaxed SrCdGeO4 crystal at the GGA-PBE level of DFT.

Output
Formation energy (no corrections) ... -13.2 eV per formula unit
Size of the total moment ... 0.00 μB per cell
D(E_F) ... 0.000 states/eV/f.u.
VASP energy ... -5.755 eV/atom
Calculated volume ... 15.36 Å³/atom
Calculated density ... 5199 kg/m3

Unit cell a=5.7317 b=5.8685 c=6.7100 alpha=90.00 beta=107.67 gamma=90.00
Last column: nearest neighbours and their distance in Å.
Positions (direct):
O (0.4589, 0.7500, 0.1609)  1 Ge 1.78
Sr (0.2730, 0.2500, 0.0599)  4 O 2.40-2.68
O (0.0503, 0.9798, 0.2691)  1 Ge 1.81
Ge (0.2705, 0.7500, 0.3279)  4 O 1.74-1.81
Cd (0.8171, 0.7500, 0.4651)  6 O 2.33-2.53
O (0.0503, 0.5202, 0.2691)  1 Ge 1.81
O (0.4622, 0.7500, 0.5856)  1 Ge 1.74
O (0.9497, 0.4798, 0.7309)  1 Ge 1.81
Ge (0.7295, 0.2500, 0.6721)  4 O 1.74-1.81
Cd (0.1829, 0.2500, 0.5349)  6 O 2.33-2.53
O (0.5411, 0.2500, 0.8391)  1 Ge 1.78
O (0.5378, 0.2500, 0.4144)  1 Ge 1.74
Sr (0.7270, 0.7500, 0.9401)  4 O 2.40-2.68
O (0.9497, 0.0202, 0.7309)  1 Ge 1.81

No. 5
Computed, not measured: a relaxed Sr3Cd3GeO8 crystal at the GGA-PBE level of DFT.

Output
Formation energy (no corrections) ... -27.5 eV per formula unit
Size of the total moment ... 0.00 μB per cell
VASP energy ... -5.305 eV/atom
Calculated volume ... 15.45 Å³/atom
Calculated density ... 5738 kg/m3

Unit cell a=6.8483 b=6.8502 c=6.9396 alpha=119.57 beta=90.00 gamma=119.99
Last column: nearest neighbours and their distance in Å.
Positions (direct):
O (0.2050, 0.9932, 0.6980)  1 Ge 2.00
Cd (0.5000, 0.5000, 0.5000)  6 O 2.39-2.44
O (0.7951, 0.5902, 0.3021)  1 Ge 2.00
Ge (0.0000, 0.0000, 0.5000)  6 O 2.00
O (0.2118, 0.0068, 0.3020)  1 Ge 2.00
O (0.7450, 0.4899, 0.7347)  3 Cd 2.39, 3 Sr 2.49
O (0.7882, 0.9932, 0.6980)  1 Ge 2.00
O (0.2049, 0.4098, 0.6979)  1 Ge 2.00
Sr (0.5000, 0.5000, 0.0000)  6 O 2.49-2.52
Sr (0.0000, 0.0000, 0.0000)  6 O 2.49-2.52
O (0.2550, 0.5101, 0.2653)  3 Cd 2.39, 3 Sr 2.49
Sr (0.0000, 0.5000, 0.0000)  6 O 2.49-2.52
Cd (0.5000, 0.0000, 0.5000)  6 O 2.39-2.44
Cd (0.0000, 0.5000, 0.5000)  6 O 2.39-2.44
O (0.7950, 0.0068, 0.3020)  1 Ge 2.00

No. 6
Computed, not measured: a relaxed Sr2CdGeO5 crystal at the GGA-PBE level of DFT.

Output
Formation energy (no corrections) ... -18.4 eV per formula unit
Size of the total moment ... 0.00 μB per cell
D(E_F) ... 0.000 states/eV/f.u.
VASP energy ... -5.786 eV/atom
Calculated volume ... 14.52 Å³/atom
Calculated density ... 5595 kg/m3

Unit cell a=3.4653 b=7.0215 c=11.0841 alpha=90.00 beta=90.00 gamma=104.29
Last column: nearest neighbours and their distance in Å.
Positions (direct):
Sr (0.0958, 0.1916, 0.6753)  6 O 2.42-2.63
O (0.3906, 0.7811, 0.9980)  1 Ge 1.94
O (0.5147, 0.0293, 0.2826)  1 Ge 1.80
O (0.6615, 0.3230, 0.8986)  1 Ge 1.91
O (0.4853, 0.9707, 0.7826)  1 Ge 1.80
O (0.6094, 0.2189, 0.4980)  1 Ge 1.94
Sr (0.9042, 0.8084, 0.1753)  6 O 2.42-2.63
Cd (0.7893, 0.5786, 0.5341)  6 O 2.32-2.48
Ge (0.5245, 0.0490, 0.9376)  5 O 1.80-1.94
O (0.3385, 0.6770, 0.3986)  1 Ge 1.91
O (0.7266, 0.4531, 0.1718)  2 Cd 2.32, 3 Sr 2.42-2.51
Sr (0.8393, 0.6786, 0.8147)  7 O 2.51-2.76
Ge (0.4755, 0.9510, 0.4376)  5 O 1.80-1.94
Sr (0.1607, 0.3214, 0.3147)  7 O 2.51-2.76
Cd (0.2107, 0.4214, 0.0341)  6 O 2.32-2.48
O (0.2735, 0.5469, 0.6718)  2 Cd 2.32, 3 Sr 2.42-2.51
O (0.9611, 0.9222, 0.5112)  2 Ge 1.93
O (0.0389, 0.0778, 0.0112)  2 Ge 1.93

What did the sixth record say?
Computed, not measured: a relaxed Sr2CdGeO5 crystal at the GGA-PBE level of DFT.

Output
Formation energy (no corrections) ... -18.4 eV per formula unit
Size of the total moment ... 0.00 μB per cell
D(E_F) ... 0.000 states/eV/f.u.
VASP energy ... -5.786 eV/atom
Calculated volume ... 14.52 Å³/atom
Calculated density ... 5595 kg/m3

Unit cell a=3.4653 b=7.0215 c=11.0841 alpha=90.00 beta=90.00 gamma=104.29
Last column: nearest neighbours and their distance in Å.
Positions (direct):
Sr (0.0958, 0.1916, 0.6753)  6 O 2.42-2.63
O (0.3906, 0.7811, 0.9980)  1 Ge 1.94
O (0.5147, 0.0293, 0.2826)  1 Ge 1.80
O (0.6615, 0.3230, 0.8986)  1 Ge 1.91
O (0.4853, 0.9707, 0.7826)  1 Ge 1.80
O (0.6094, 0.2189, 0.4980)  1 Ge 1.94
Sr (0.9042, 0.8084, 0.1753)  6 O 2.42-2.63
Cd (0.7893, 0.5786, 0.5341)  6 O 2.32-2.48
Ge (0.5245, 0.0490, 0.9376)  5 O 1.80-1.94
O (0.3385, 0.6770, 0.3986)  1 Ge 1.91
O (0.7266, 0.4531, 0.1718)  2 Cd 2.32, 3 Sr 2.42-2.51
Sr (0.8393, 0.6786, 0.8147)  7 O 2.51-2.76
Ge (0.4755, 0.9510, 0.4376)  5 O 1.80-1.94
Sr (0.1607, 0.3214, 0.3147)  7 O 2.51-2.76
Cd (0.2107, 0.4214, 0.0341)  6 O 2.32-2.48
O (0.2735, 0.5469, 0.6718)  2 Cd 2.32, 3 Sr 2.42-2.51
O (0.9611, 0.9222, 0.5112)  2 Ge 1.93
O (0.0389, 0.0778, 0.0112)  2 Ge 1.93